Entry from the Open Quantum Materials Database: crystalline Li4Al2CdHg at its relaxed geometry (PBE).

Summary:
theoretical density	5.02	g/cm³
calculated total energy	-0.1685	Ry per atom

Structure (CIF):
```
data_Li4Al2CdHg
_cell_length_a 4.5249
_cell_length_b 4.5249
_cell_length_c 6.3823
_cell_angle_alpha 90.00
_cell_angle_beta 90.00
_cell_angle_gamma 90.00
_symmetry_space_group_name_H-M 'P -4 m 2'
_symmetry_Int_Tables_number 115
_symmetry_space_group_name_Hall 'P -4 -2'
loop_
_atom_site_label
_atom_site_type_symbol
_atom_site_fract_x
_atom_site_fract_y
_atom_site_fract_z
Li1 Li 0.0000 0.0000 0.0000
Li2 Li 0.0000 0.5000 0.7492
Li3 Li 0.5000 0.5000 0.5000
Al1 Al 0.0000 0.5000 0.2512
Cd1 Cd 0.5000 0.5000 0.0000
Hg1 Hg 0.0000 0.0000 0.5000
```

=====

Entry from the Open Quantum Materials Database: crystalline AlCdNiHg at its relaxed geometry (PBE).

Summary:
theoretical density	9.64	g/cm³
calculated total energy	-0.1823	Ry per atom
total moment	0.00	μB per formula unit

Structure (CIF):
```
data_AlCdNiHg
_cell_length_a 6.4995
_cell_length_b 6.4995
_cell_length_c 6.4995
_cell_angle_alpha 90.00
_cell_angle_beta 90.00
_cell_angle_gamma 90.00
_symmetry_space_group_name_H-M 'F -4 3 m'
_symmetry_Int_Tables_number 216
_symmetry_space_group_name_Hall 'F -4 2 3'
loop_
_atom_site_label
_atom_site_type_symbol
_atom_site_fract_x
_atom_site_fract_y
_atom_site_fract_z
Al1 Al 0.0000 0.0000 0.0000
Cd1 Cd 0.0000 0.0000 0.5000
Ni1 Ni 0.2500 0.2500 0.2500
Hg1 Hg 0.2500 0.2500 0.7500
```

=====

Entry from the Open Quantum Materials Database: crystalline Tb2HoAl2Cd3In at its relaxed geometry (PBE).

Summary:
theoretical density	7.74	g/cm³
calculated total energy	-0.2479	Ry per atom
total moment	0.01	μB per formula unit

Structure (CIF):
```
data_Tb2HoAl2Cd3In
_cell_length_a 4.5593
_cell_length_b 12.6787
_cell_length_c 7.3369
_cell_angle_alpha 90.00
_cell_angle_beta 90.00
_cell_angle_gamma 90.00
_symmetry_space_group_name_H-M 'A m m 2'
_symmetry_Int_Tables_number 38
_symmetry_space_group_name_Hall 'A 2 -2'
loop_
_atom_site_label
_atom_site_type_symbol
_atom_site_fract_x
_atom_site_fract_y
_atom_site_fract_z
Tb1 Tb 0.0000 0.2181 0.0000
Ho1 Ho 0.0000 0.0000 0.3452
Al1 Al 0.5000 0.1661 0.2818
Cd1 Cd 0.5000 0.0000 0.0374
Cd2 Cd 0.5000 0.1276 0.6539
In1 In 0.0000 0.0000 0.7807
```

=====

Entry from the Open Quantum Materials Database: crystalline Ho3Mg3Al2Cd at its relaxed geometry (PBE).

Summary:
theoretical density	5.71	g/cm³
calculated total energy	-0.2412	Ry per atom
total moment	0.00	μB per formula unit

Structure (CIF):
```
data_Ho3Mg3Al2Cd
_cell_length_a 7.3813
_cell_length_b 7.3813
_cell_length_c 4.5282
_cell_angle_alpha 90.00
_cell_angle_beta 90.00
_cell_angle_gamma 120.00
_symmetry_space_group_name_H-M 'P -6 2 m'
_symmetry_Int_Tables_number 189
_symmetry_space_group_name_Hall 'P -6 -2'
loop_
_atom_site_label
_atom_site_type_symbol
_atom_site_fract_x
_atom_site_fract_y
_atom_site_fract_z
Ho1 Ho 0.0000 0.4308 0.0000
Mg1 Mg 0.0000 0.7546 0.5000
Al1 Al 0.3333 0.6667 0.5000
Cd1 Cd 0.0000 0.0000 0.0000
```

=====

Entry from the Open Quantum Materials Database: crystalline NdHo2Mg3Al2Cd at its relaxed geometry (PBE).

Summary:
theoretical density	5.36	g/cm³
calculated total energy	-0.2430	Ry per atom
total moment	0.00	μB per formula unit

Structure (CIF):
```
data_NdHo2Mg3Al2Cd
_cell_length_a 4.5918
_cell_length_b 13.0291
_cell_length_c 7.3838
_cell_angle_alpha 90.00
_cell_angle_beta 90.00
_cell_angle_gamma 90.00
_symmetry_space_group_name_H-M 'A m m 2'
_symmetry_Int_Tables_number 38
_symmetry_space_group_name_Hall 'A 2 -2'
loop_
_atom_site_label
_atom_site_type_symbol
_atom_site_fract_x
_atom_site_fract_y
_atom_site_fract_z
Nd1 Nd 0.0000 0.0000 0.0000
Ho1 Ho 0.0000 0.2149 0.6414
Mg1 Mg 0.5000 0.0000 0.6750
Mg2 Mg 0.5000 0.1224 0.3070
Al1 Al 0.5000 0.1697 0.9263
Cd1 Cd 0.0000 0.0000 0.4375
```

=====

Entry from the Open Quantum Materials Database: crystalline HoTm2Mg3Al2Cd at its relaxed geometry (PBE).

Summary:
theoretical density	5.82	g/cm³
calculated total energy	-0.2386	Ry per atom
total moment	0.00	μB per formula unit

Structure (CIF):
```
data_HoTm2Mg3Al2Cd
_cell_length_a 4.5083
_cell_length_b 12.7878
_cell_length_c 7.3457
_cell_angle_alpha 90.00
_cell_angle_beta 90.00
_cell_angle_gamma 90.00
_symmetry_space_group_name_H-M 'A m m 2'
_symmetry_Int_Tables_number 38
_symmetry_space_group_name_Hall 'A 2 -2'
loop_
_atom_site_label
_atom_site_type_symbol
_atom_site_fract_x
_atom_site_fract_y
_atom_site_fract_z
Ho1 Ho 0.0000 0.0000 0.0000
Tm1 Tm 0.0000 0.2154 0.6464
Mg1 Mg 0.5000 0.0000 0.6772
Mg2 Mg 0.5000 0.1233 0.3083
Al1 Al 0.5000 0.1673 0.9310
Cd1 Cd 0.0000 0.0000 0.4327
```

=====

Entry from the Open Quantum Materials Database: crystalline Ho2TmMg3Al2Cd at its relaxed geometry (PBE).

Summary:
theoretical density	5.75	g/cm³
calculated total energy	-0.2399	Ry per atom
total moment	0.00	μB per formula unit

Structure (CIF):
```
data_Ho2TmMg3Al2Cd
_cell_length_a 4.5162
_cell_length_b 12.7473
_cell_length_c 7.3989
_cell_angle_alpha 90.00
_cell_angle_beta 90.00
_cell_angle_gamma 90.00
_symmetry_space_group_name_H-M 'A m m 2'
_symmetry_Int_Tables_number 38
_symmetry_space_group_name_Hall 'A 2 -2'
loop_
_atom_site_label
_atom_site_type_symbol
_atom_site_fract_x
_atom_site_fract_y
_atom_site_fract_z
Ho1 Ho 0.0000 0.2153 0.0000
Tm1 Tm 0.0000 0.0000 0.6458
Mg1 Mg 0.5000 0.0000 0.9691
Mg2 Mg 0.5000 0.1230 0.3388
Al1 Al 0.5000 0.1660 0.7153
Cd1 Cd 0.0000 0.0000 0.2170
```

=====

Entry from the Open Quantum Materials Database: crystalline Y2HoMg3Al2Cd at its relaxed geometry (PBE).

Summary:
theoretical density	4.48	g/cm³
calculated total energy	-0.2735	Ry per atom
total moment	0.00	μB per formula unit

Structure (CIF):
```
data_Y2HoMg3Al2Cd
_cell_length_a 4.5384
_cell_length_b 12.8286
_cell_length_c 7.4115
_cell_angle_alpha 90.00
_cell_angle_beta 90.00
_cell_angle_gamma 90.00
_symmetry_space_group_name_H-M 'A m m 2'
_symmetry_Int_Tables_number 38
_symmetry_space_group_name_Hall 'A 2 -2'
loop_
_atom_site_label
_atom_site_type_symbol
_atom_site_fract_x
_atom_site_fract_y
_atom_site_fract_z
Y1 Y 0.0000 0.2142 0.0000
Ho1 Ho 0.0000 0.0000 0.3574
Mg1 Mg 0.5000 0.0000 0.0318
Mg2 Mg 0.5000 0.1230 0.6628
Al1 Al 0.5000 0.1665 0.2858
Cd1 Cd 0.0000 0.0000 0.7856
```

=====

Entry from the Open Quantum Materials Database: crystalline YHo2Mg3Al2Cd at its relaxed geometry (PBE).

Summary:
theoretical density	5.08	g/cm³
calculated total energy	-0.2573	Ry per atom
total moment	0.00	μB per formula unit

Structure (CIF):
```
data_YHo2Mg3Al2Cd
_cell_length_a 4.5337
_cell_length_b 12.8192
_cell_length_c 7.3962
_cell_angle_alpha 90.00
_cell_angle_beta 90.00
_cell_angle_gamma 90.00
_symmetry_space_group_name_H-M 'A m m 2'
_symmetry_Int_Tables_number 38
_symmetry_space_group_name_Hall 'A 2 -2'
loop_
_atom_site_label
_atom_site_type_symbol
_atom_site_fract_x
_atom_site_fract_y
_atom_site_fract_z
Y1 Y 0.0000 0.0000 0.0000
Ho1 Ho 0.0000 0.2142 0.3573
Mg1 Mg 0.5000 0.0000 0.3256
Mg2 Mg 0.5000 0.1230 0.6945
Al1 Al 0.5000 0.1668 0.0715
Cd1 Cd 0.0000 0.0000 0.5713
```

=====

Entry from the Open Quantum Materials Database: crystalline HoTm2Al2Cd4 at its relaxed geometry (PBE).

Summary:
theoretical density	8.12	g/cm³
calculated total energy	-0.2275	Ry per atom
total moment	0.00	μB per formula unit

Structure (CIF):
```
data_HoTm2Al2Cd4
_cell_length_a 4.5318
_cell_length_b 12.5611
_cell_length_c 7.2319
_cell_angle_alpha 90.00
_cell_angle_beta 90.00
_cell_angle_gamma 90.00
_symmetry_space_group_name_H-M 'A m m 2'
_symmetry_Int_Tables_number 38
_symmetry_space_group_name_Hall 'A 2 -2'
loop_
_atom_site_label
_atom_site_type_symbol
_atom_site_fract_x
_atom_site_fract_y
_atom_site_fract_z
Ho1 Ho 0.0000 0.0000 0.0000
Tm1 Tm 0.0000 0.2158 0.6469
Al1 Al 0.5000 0.1672 0.9313
Cd1 Cd 0.0000 0.0000 0.4331
Cd2 Cd 0.5000 0.0000 0.6830
Cd3 Cd 0.5000 0.1257 0.3059
```

=====

Entry from the Open Quantum Materials Database: crystalline HoTm2Al2Zn3Cd at its relaxed geometry (PBE).

Summary:
theoretical density	7.73	g/cm³
calculated total energy	-0.2376	Ry per atom
total moment	0.00	μB per formula unit

Structure (CIF):
```
data_HoTm2Al2Zn3Cd
_cell_length_a 4.4433
_cell_length_b 12.0613
_cell_length_c 6.9346
_cell_angle_alpha 90.00
_cell_angle_beta 90.00
_cell_angle_gamma 90.00
_symmetry_space_group_name_H-M 'A m m 2'
_symmetry_Int_Tables_number 38
_symmetry_space_group_name_Hall 'A 2 -2'
loop_
_atom_site_label
_atom_site_type_symbol
_atom_site_fract_x
_atom_site_fract_y
_atom_site_fract_z
Ho1 Ho 0.0000 0.0000 0.0000
Tm1 Tm 0.0000 0.2168 0.6491
Al1 Al 0.5000 0.1672 0.9327
Zn1 Zn 0.5000 0.0000 0.6819
Zn2 Zn 0.5000 0.1246 0.3087
Cd1 Cd 0.0000 0.0000 0.4350
```

=====

Entry from the Open Quantum Materials Database: crystalline Ho2TmAl2Zn3Cd at its relaxed geometry (PBE).

Summary:
theoretical density	7.65	g/cm³
calculated total energy	-0.2386	Ry per atom
total moment	0.00	μB per formula unit

Structure (CIF):
```
data_Ho2TmAl2Zn3Cd
_cell_length_a 4.4655
_cell_length_b 12.0156
_cell_length_c 6.9700
_cell_angle_alpha 90.00
_cell_angle_beta 90.00
_cell_angle_gamma 90.00
_symmetry_space_group_name_H-M 'A m m 2'
_symmetry_Int_Tables_number 38
_symmetry_space_group_name_Hall 'A 2 -2'
loop_
_atom_site_label
_atom_site_type_symbol
_atom_site_fract_x
_atom_site_fract_y
_atom_site_fract_z
Ho1 Ho 0.0000 0.2169 0.0000
Tm1 Tm 0.0000 0.0000 0.6530
Al1 Al 0.5000 0.1662 0.7172
Zn1 Zn 0.5000 0.0000 0.9717
Zn2 Zn 0.5000 0.1231 0.3413
Cd1 Cd 0.0000 0.0000 0.2208
```

=====

Entry from the Open Quantum Materials Database: crystalline Al2CdI8 at its relaxed geometry (PBE).

Summary:
theoretical density	3.62	g/cm³
calculated total energy	-0.1858	Ry per atom

Structure (CIF):
```
data_Al2CdI8
_cell_length_a 13.5994
_cell_length_b 11.3823
_cell_length_c 7.0373
_cell_angle_alpha 90.00
_cell_angle_beta 95.77
_cell_angle_gamma 90.00
_symmetry_space_group_name_H-M 'C 1 2/m 1'
_symmetry_Int_Tables_number 12
_symmetry_space_group_name_Hall '-C 2y'
loop_
_atom_site_label
_atom_site_type_symbol
_atom_site_fract_x
_atom_site_fract_y
_atom_site_fract_z
Al1 Al 0.1971 0.0000 0.1539
Cd1 Cd 0.0000 0.0000 0.5000
I1 I 0.1004 0.1786 0.2728
I2 I 0.1246 0.5000 0.7120
I3 I 0.1943 0.0000 0.7875
```

=====

Entry from the Open Quantum Materials Database: crystalline AlCdIn2 at its relaxed geometry (PBE).

Summary:
theoretical density	6.37	g/cm³
calculated total energy	-0.1739	Ry per atom

Structure (CIF):
```
data_AlCdIn2
_cell_length_a 7.2740
_cell_length_b 7.2740
_cell_length_c 7.2740
_cell_angle_alpha 90.00
_cell_angle_beta 90.00
_cell_angle_gamma 90.00
_symmetry_space_group_name_H-M 'F -4 3 m'
_symmetry_Int_Tables_number 216
_symmetry_space_group_name_Hall 'F -4 2 3'
loop_
_atom_site_label
_atom_site_type_symbol
_atom_site_fract_x
_atom_site_fract_y
_atom_site_fract_z
Al1 Al 0.0000 0.0000 0.0000
Cd1 Cd 0.2500 0.2500 0.2500
In1 In 0.0000 0.0000 0.5000
In2 In 0.2500 0.2500 0.7500
```

=====

Entry from the Open Quantum Materials Database: crystalline Al2CdIn at its relaxed geometry (PBE).

Summary:
theoretical density	5.43	g/cm³
calculated total energy	-0.1881	Ry per atom

Structure (CIF):
```
data_Al2CdIn
_cell_length_a 7.0052
_cell_length_b 7.0052
_cell_length_c 7.0052
_cell_angle_alpha 90.00
_cell_angle_beta 90.00
_cell_angle_gamma 90.00
_symmetry_space_group_name_H-M 'F -4 3 m'
_symmetry_Int_Tables_number 216
_symmetry_space_group_name_Hall 'F -4 2 3'
loop_
_atom_site_label
_atom_site_type_symbol
_atom_site_fract_x
_atom_site_fract_y
_atom_site_fract_z
Al1 Al 0.0000 0.0000 0.0000
Al2 Al 0.2500 0.2500 0.2500
Cd1 Cd 0.2500 0.2500 0.7500
In1 In 0.0000 0.0000 0.5000
```

=====

Entry from the Open Quantum Materials Database: crystalline Li4AlCdIn2 at its relaxed geometry (PBE).

Summary:
theoretical density	4.62	g/cm³
calculated total energy	-0.1824	Ry per atom

Structure (CIF):
```
data_Li4AlCdIn2
_cell_length_a 4.6429
_cell_length_b 4.6429
_cell_length_c 6.6170
_cell_angle_alpha 90.00
_cell_angle_beta 90.00
_cell_angle_gamma 90.00
_symmetry_space_group_name_H-M 'P -4 m 2'
_symmetry_Int_Tables_number 115
_symmetry_space_group_name_Hall 'P -4 -2'
loop_
_atom_site_label
_atom_site_type_symbol
_atom_site_fract_x
_atom_site_fract_y
_atom_site_fract_z
Li1 Li 0.0000 0.0000 0.0000
Li2 Li 0.0000 0.5000 0.7487
Li3 Li 0.5000 0.5000 0.5000
Al1 Al 0.0000 0.0000 0.5000
Cd1 Cd 0.5000 0.5000 0.0000
In1 In 0.0000 0.5000 0.2580
```

=====

Entry from the Open Quantum Materials Database: crystalline Li4Al2CdIn at its relaxed geometry (PBE).

Summary:
theoretical density	3.80	g/cm³
calculated total energy	-0.1893	Ry per atom

Structure (CIF):
```
data_Li4Al2CdIn
_cell_length_a 4.5661
_cell_length_b 4.5661
_cell_length_c 6.4762
_cell_angle_alpha 90.00
_cell_angle_beta 90.00
_cell_angle_gamma 90.00
_symmetry_space_group_name_H-M 'P -4 m 2'
_symmetry_Int_Tables_number 115
_symmetry_space_group_name_Hall 'P -4 -2'
loop_
_atom_site_label
_atom_site_type_symbol
_atom_site_fract_x
_atom_site_fract_y
_atom_site_fract_z
Li1 Li 0.0000 0.0000 0.0000
Li2 Li 0.0000 0.5000 0.7432
Li3 Li 0.5000 0.5000 0.5000
Al1 Al 0.0000 0.5000 0.2563
Cd1 Cd 0.0000 0.0000 0.5000
In1 In 0.5000 0.5000 0.0000
```

=====

Entry from the Open Quantum Materials Database: crystalline Li2AlCd2InPd2 at its relaxed geometry (PBE).

Summary:
theoretical density	7.40	g/cm³
calculated total energy	-0.2402	Ry per atom

Structure (CIF):
```
data_Li2AlCd2InPd2
_cell_length_a 4.5388
_cell_length_b 4.5388
_cell_length_c 6.4661
_cell_angle_alpha 90.00
_cell_angle_beta 90.00
_cell_angle_gamma 90.00
_symmetry_space_group_name_H-M 'P -4 m 2'
_symmetry_Int_Tables_number 115
_symmetry_space_group_name_Hall 'P -4 -2'
loop_
_atom_site_label
_atom_site_type_symbol
_atom_site_fract_x
_atom_site_fract_y
_atom_site_fract_z
Li1 Li 0.0000 0.5000 0.2391
Al1 Al 0.5000 0.5000 0.0000
Cd1 Cd 0.0000 0.0000 0.0000
Cd2 Cd 0.5000 0.5000 0.5000
In1 In 0.0000 0.0000 0.5000
Pd1 Pd 0.0000 0.5000 0.7690
```

=====

Entry from the Open Quantum Materials Database: crystalline Li2AlCd2InPt2 at its relaxed geometry (PBE).

Summary:
theoretical density	9.62	g/cm³
calculated total energy	-0.2613	Ry per atom
total moment	0.03	μB per formula unit

Structure (CIF):
```
data_Li2AlCd2InPt2
_cell_length_a 4.5304
_cell_length_b 4.5304
_cell_length_c 6.4802
_cell_angle_alpha 90.00
_cell_angle_beta 90.00
_cell_angle_gamma 90.00
_symmetry_space_group_name_H-M 'P -4 m 2'
_symmetry_Int_Tables_number 115
_symmetry_space_group_name_Hall 'P -4 -2'
loop_
_atom_site_label
_atom_site_type_symbol
_atom_site_fract_x
_atom_site_fract_y
_atom_site_fract_z
Li1 Li 0.0000 0.5000 0.2367
Al1 Al 0.5000 0.5000 0.0000
Cd1 Cd 0.0000 0.0000 0.0000
Cd2 Cd 0.5000 0.5000 0.5000
In1 In 0.0000 0.0000 0.5000
Pt1 Pt 0.0000 0.5000 0.7702
```

=====

Entry from the Open Quantum Materials Database: crystalline Tb3Mg2Al2CdIn at its relaxed geometry (PBE).

Summary:
theoretical density	6.16	g/cm³
calculated total energy	-0.2571	Ry per atom
total moment	0.00	μB per formula unit

Structure (CIF):
```
data_Tb3Mg2Al2CdIn
_cell_length_a 4.6069
_cell_length_b 12.8484
_cell_length_c 7.3463
_cell_angle_alpha 90.00
_cell_angle_beta 90.00
_cell_angle_gamma 90.00
_symmetry_space_group_name_H-M 'A m m 2'
_symmetry_Int_Tables_number 38
_symmetry_space_group_name_Hall 'A 2 -2'
loop_
_atom_site_label
_atom_site_type_symbol
_atom_site_fract_x
_atom_site_fract_y
_atom_site_fract_z
Tb1 Tb 0.0000 0.0000 0.0000
Tb2 Tb 0.0000 0.2188 0.6585
Mg1 Mg 0.5000 0.1230 0.3205
Al1 Al 0.5000 0.1666 0.9392
Cd1 Cd 0.5000 0.0000 0.6925
In1 In 0.0000 0.0000 0.4382
```